Entry 1:
## PmDy4Hg (PBE)

Data for a relaxed structure of PmDy4Hg.

Values from the calculation:
* distance to the lowest polymorph of the same formula: 0.093 eV/atom
* crystal system: monoclinic
* E_form: -50 meV/atom

```
data_PmDy4Hg
_cell_length_a 8.7670
_cell_length_b 13.9461
_cell_length_c 6.3633
_cell_angle_alpha 90.00
_cell_angle_beta 109.06
_cell_angle_gamma 90.00
_symmetry_space_group_name_H-M 'C 1 2/c 1'
_symmetry_Int_Tables_number 15
_symmetry_space_group_name_Hall '-C 2yc'
loop_
_atom_site_label
_atom_site_type_symbol
_atom_site_fract_x
_atom_site_fract_y
_atom_site_fract_z
Pm1 Pm 0.0000 0.0948 0.2500
Dy1 Dy 0.0993 0.3124 0.5463
Dy2 Dy 0.2190 0.1178 0.8734
Hg1 Hg 0.0000 0.4993 0.2500
```

---

Entry 2:
## Pm3DyHg7 (PBE)

Data for a relaxed structure of Pm3DyHg7.

Values from the calculation:
* crystal system: orthorhombic
* E_form: -333 meV/atom

```
data_Pm3DyHg7
_cell_length_a 3.6976
_cell_length_b 24.9645
_cell_length_c 13.1589
_cell_angle_alpha 90.00
_cell_angle_beta 90.00
_cell_angle_gamma 90.00
_symmetry_space_group_name_H-M 'C m c m'
_symmetry_Int_Tables_number 63
_symmetry_space_group_name_Hall '-C 2c 2'
loop_
_atom_site_label
_atom_site_type_symbol
_atom_site_fract_x
_atom_site_fract_y
_atom_site_fract_z
Pm1 Pm 0.0000 0.1432 0.0732
Pm2 Pm 0.0000 0.1748 0.7500
Dy1 Dy 0.0000 0.0208 0.7500
Hg1 Hg 0.0000 0.2744 0.0798
Hg2 Hg 0.0000 0.3039 0.7500
Hg3 Hg 0.0000 0.4056 0.1113
Hg4 Hg 0.0000 0.4617 0.5962
```

---

Entry 3:
## Pm2DyHg2 (PBE)

Data for a relaxed structure of Pm2DyHg2.

Values from the calculation:
* distance to the lowest polymorph of the same formula: 0.000 eV/atom
* crystal system: monoclinic
* E_form: -373 meV/atom

```
data_Pm2DyHg2
_cell_length_a 3.7815
_cell_length_b 5.3643
_cell_length_c 14.0832
_cell_angle_alpha 90.00
_cell_angle_beta 97.71
_cell_angle_gamma 90.00
_symmetry_space_group_name_H-M 'P 1 21/m 1'
_symmetry_Int_Tables_number 11
_symmetry_space_group_name_Hall '-P 2yb'
loop_
_atom_site_label
_atom_site_type_symbol
_atom_site_fract_x
_atom_site_fract_y
_atom_site_fract_z
Pm1 Pm 0.0463 0.2500 0.0905
Pm2 Pm 0.2336 0.2500 0.4688
Dy1 Dy 0.1471 0.7500 0.2927
Hg1 Hg 0.3587 0.7500 0.7171
Hg2 Hg 0.4456 0.2500 0.8925
```

---

Entry 4:
## Pm4DyHg (PBE)

Data for a relaxed structure of Pm4DyHg.

Values from the calculation:
* distance to the lowest polymorph of the same formula: 0.000 eV/atom
* crystal system: tetragonal
* E_form: -146 meV/atom

```
data_Pm4DyHg
_cell_length_a 3.6656
_cell_length_b 3.6656
_cell_length_c 14.1617
_cell_angle_alpha 90.00
_cell_angle_beta 90.00
_cell_angle_gamma 90.00
_symmetry_space_group_name_H-M 'P 4/m m m'
_symmetry_Int_Tables_number 123
_symmetry_space_group_name_Hall '-P 4 2'
loop_
_atom_site_label
_atom_site_type_symbol
_atom_site_fract_x
_atom_site_fract_y
_atom_site_fract_z
Pm1 Pm 0.0000 0.0000 0.1441
Pm2 Pm 0.5000 0.5000 0.3238
Dy1 Dy 0.0000 0.0000 0.5000
Hg1 Hg 0.5000 0.5000 0.0000
```

---

Entry 5:
## Pm9Dy4Hg11 (PBE)

Data for a relaxed structure of Pm9Dy4Hg11.

Values from the calculation:
* crystal system: orthorhombic
* E_form: -382 meV/atom

```
data_Pm9Dy4Hg11
_cell_length_a 15.8260
_cell_length_b 23.2793
_cell_length_c 3.5816
_cell_angle_alpha 90.00
_cell_angle_beta 90.00
_cell_angle_gamma 90.00
_symmetry_space_group_name_H-M 'C m m m'
_symmetry_Int_Tables_number 65
_symmetry_space_group_name_Hall '-C 2 2'
loop_
_atom_site_label
_atom_site_type_symbol
_atom_site_fract_x
_atom_site_fract_y
_atom_site_fract_z
Pm1 Pm 0.0000 0.0000 0.0000
Pm2 Pm 0.1130 0.2427 0.0000
Pm3 Pm 0.1231 0.4169 0.0000
Dy1 Dy 0.1530 0.0945 0.0000
Hg1 Hg 0.0000 0.1359 0.5000
Hg2 Hg 0.0000 0.3329 0.5000
Hg3 Hg 0.0000 0.5000 0.5000
Hg4 Hg 0.2372 0.0000 0.5000
Hg5 Hg 0.2374 0.3222 0.5000
```

---

Entry 6:
## PmDyHg3 (PBE)

Data for a relaxed structure of PmDyHg3.

Values from the calculation:
* distance to the lowest polymorph of the same formula: 0.081 eV/atom
* crystal system: orthorhombic
* E_form: -339 meV/atom

```
data_PmDyHg3
_cell_length_a 15.3622
_cell_length_b 9.2720
_cell_length_c 7.7106
_cell_angle_alpha 90.00
_cell_angle_beta 90.00
_cell_angle_gamma 90.00
_symmetry_space_group_name_H-M 'C m c m'
_symmetry_Int_Tables_number 63
_symmetry_space_group_name_Hall '-C 2c 2'
loop_
_atom_site_label
_atom_site_type_symbol
_atom_site_fract_x
_atom_site_fract_y
_atom_site_fract_z
Pm1 Pm 0.0000 0.0230 0.2500
Pm2 Pm 0.0000 0.4727 0.2500
Dy1 Dy 0.2328 0.2661 0.2500
Hg1 Hg 0.0958 0.2750 0.5421
Hg2 Hg 0.1960 0.0000 0.0000
```

---

Entry 7:
## Pm3Dy2Hg7 (PBE)

Data for a relaxed structure of Pm3Dy2Hg7.

Values from the calculation:
* crystal system: orthorhombic
* E_form: -330 meV/atom

```
data_Pm3Dy2Hg7
_cell_length_a 5.1963
_cell_length_b 23.0701
_cell_length_c 5.5650
_cell_angle_alpha 90.00
_cell_angle_beta 90.00
_cell_angle_gamma 90.00
_symmetry_space_group_name_H-M 'C m m m'
_symmetry_Int_Tables_number 65
_symmetry_space_group_name_Hall '-C 2 2'
loop_
_atom_site_label
_atom_site_type_symbol
_atom_site_fract_x
_atom_site_fract_y
_atom_site_fract_z
Pm1 Pm 0.0000 0.0000 0.0000
Pm2 Pm 0.0000 0.1701 0.0000
Dy1 Dy 0.0000 0.3577 0.5000
Hg1 Hg 0.0000 0.0754 0.5000
Hg2 Hg 0.0000 0.2237 0.5000
Hg3 Hg 0.0000 0.4132 0.0000
Hg4 Hg 0.0000 0.5000 0.5000
```

---

Entry 8:
## PmDyHg6 (PBE)

Data for a relaxed structure of PmDyHg6.

Values from the calculation:
* distance to the lowest polymorph of the same formula: 0.035 eV/atom
* crystal system: tetragonal
* E_form: -328 meV/atom

```
data_PmDyHg6
_cell_length_a 4.7092
_cell_length_b 4.7092
_cell_length_c 9.0455
_cell_angle_alpha 90.00
_cell_angle_beta 90.00
_cell_angle_gamma 90.00
_symmetry_space_group_name_H-M 'P 4/m m m'
_symmetry_Int_Tables_number 123
_symmetry_space_group_name_Hall '-P 4 2'
loop_
_atom_site_label
_atom_site_type_symbol
_atom_site_fract_x
_atom_site_fract_y
_atom_site_fract_z
Pm1 Pm 0.0000 0.0000 0.0000
Dy1 Dy 0.0000 0.0000 0.5000
Hg1 Hg 0.0000 0.5000 0.2545
Hg2 Hg 0.5000 0.5000 0.0000
Hg3 Hg 0.5000 0.5000 0.5000
```

---

Entry 9:
## PmDyHg (PBE)

Data for a relaxed structure of PmDyHg.

Values from the calculation:
* distance to the lowest polymorph of the same formula: 0.119 eV/atom
* crystal system: trigonal
* E_form: -184 meV/atom

```
data_PmDyHg
_cell_length_a 5.1652
_cell_length_b 5.1652
_cell_length_c 3.8205
_cell_angle_alpha 90.00
_cell_angle_beta 90.00
_cell_angle_gamma 120.00
_symmetry_space_group_name_H-M 'P 3 m 1'
_symmetry_Int_Tables_number 156
_symmetry_space_group_name_Hall 'P 3 -2"'
loop_
_atom_site_label
_atom_site_type_symbol
_atom_site_fract_x
_atom_site_fract_y
_atom_site_fract_z
Pm1 Pm 0.0000 0.0000 0.0000
Dy1 Dy 0.6667 0.3333 0.5379
Hg1 Hg 0.3333 0.6667 0.3669
```

---

Entry 10:
## Pm2Dy6Hg (PBE)

Data for a relaxed structure of Pm2Dy6Hg.

Values from the calculation:
* crystal system: orthorhombic
* E_form: 39 meV/atom

```
data_Pm2Dy6Hg
_cell_length_a 9.3938
_cell_length_b 17.4127
_cell_length_c 3.5427
_cell_angle_alpha 90.00
_cell_angle_beta 90.00
_cell_angle_gamma 90.00
_symmetry_space_group_name_H-M 'C m m m'
_symmetry_Int_Tables_number 65
_symmetry_space_group_name_Hall '-C 2 2'
loop_
_atom_site_label
_atom_site_type_symbol
_atom_site_fract_x
_atom_site_fract_y
_atom_site_fract_z
Pm1 Pm 0.0000 0.1806 0.0000
Dy1 Dy 0.1759 0.3389 0.5000
Dy2 Dy 0.2093 0.0000 0.0000
Hg1 Hg 0.0000 0.5000 0.5000
```

---

Entry 11:
## PmDy5Hg3 (PBE)

Data for a relaxed structure of PmDy5Hg3.

Values from the calculation:
* crystal system: hexagonal
* E_form: -298 meV/atom

```
data_PmDy5Hg3
_cell_length_a 9.1061
_cell_length_b 9.1061
_cell_length_c 6.9688
_cell_angle_alpha 90.00
_cell_angle_beta 90.00
_cell_angle_gamma 120.00
_symmetry_space_group_name_H-M 'P 63/m c m'
_symmetry_Int_Tables_number 193
_symmetry_space_group_name_Hall '-P 6c 2'
loop_
_atom_site_label
_atom_site_type_symbol
_atom_site_fract_x
_atom_site_fract_y
_atom_site_fract_z
Pm1 Pm 0.0000 0.0000 0.0000
Dy1 Dy 0.0000 0.3319 0.2500
Dy2 Dy 0.3333 0.6667 0.0000
Hg1 Hg 0.0000 0.3376 0.7500
```

---

Entry 12:
## PmDy2Hg (PBE)

Data for a relaxed structure of PmDy2Hg.

Values from the calculation:
* distance to the lowest polymorph of the same formula: 0.000 eV/atom
* crystal system: tetragonal
* E_form: -231 meV/atom

```
data_PmDy2Hg
_cell_length_a 3.6404
_cell_length_b 3.6404
_cell_length_c 8.8870
_cell_angle_alpha 90.00
_cell_angle_beta 90.00
_cell_angle_gamma 90.00
_symmetry_space_group_name_H-M 'P 4/m m m'
_symmetry_Int_Tables_number 123
_symmetry_space_group_name_Hall '-P 4 2'
loop_
_atom_site_label
_atom_site_type_symbol
_atom_site_fract_x
_atom_site_fract_y
_atom_site_fract_z
Pm1 Pm 0.0000 0.0000 0.0000
Dy1 Dy 0.5000 0.5000 0.2818
Hg1 Hg 0.0000 0.0000 0.5000
```